Record 1
This record from Alexandria via LeMat-Bulk describes a PBEsol-optimized structure of Ru3PbW. The functional is SCAN.

a b c (Å): 4.6578 4.6578 4.6578
angles (deg): 90.00 90.00 90.00
With the nearest neighbours (Å) after each atom.
Fractional positions:
Ru (0.0000, 0.0000, 0.5000)  2 W 2.33
Pb (0.5000, 0.5000, 0.5000)  12 Ru 3.29
W (0.0000, 0.0000, 0.0000)  6 Ru 2.33
Ru (0.5000, 0.0000, 0.0000)  2 W 2.33
Ru (0.0000, 0.5000, 0.0000)  2 W 2.33

Final energy = -48.53 eV/atom
N(E_F) = 0.91 states/eV/atom
Calculated formation energy = 7.304 eV/f.u.
Spin magnetization = 0.005 μB/cell

Record 2
This record from Alexandria via LeMat-Bulk describes a PBEsol-optimized structure of RuPbW2. The functional is SCAN.

a b c (Å): 3.8220 3.8220 4.5452
angles (deg): 90.00 90.00 90.00
With the nearest neighbours (Å) after each atom.
Fractional positions:
Pb (0.5000, 0.5000, 0.5000)  4 Ru 2.70, 8 W 2.97
W (0.0000, 0.5000, 0.0000)  4 W 2.70, 4 Ru 2.97, 4 Pb 2.97
W (0.5000, 0.0000, 0.0000)  4 W 2.70, 4 Ru 2.97, 4 Pb 2.97
Ru (0.0000, 0.0000, 0.5000)  4 Pb 2.70, 8 W 2.97

Final energy = -61.68 eV/atom
N(E_F) = 0.76 states/eV/atom
Calculated formation energy = 3.267 eV/f.u.
Spin magnetization = 0.000 μB/cell

Record 3
This record from Alexandria via LeMat-Bulk describes a PBEsol-optimized structure of Y3RuPb. The functional is SCAN.

a b c (Å): 6.9750 7.9650 10.0445
angles (deg): 72.48 90.00 90.00
With the nearest neighbours (Å) after each atom.
Fractional positions:
Y (0.3332, 0.1620, 0.7691)  3 Ru 2.78-3.08
Y (0.5007, 0.7401, 0.9399)  2 Ru 2.69-2.85
Y (0.4950, 0.6745, 0.5742)  2 Ru 2.77-2.83
Y (0.0050, 0.1745, 0.0742)  2 Ru 2.77-2.83
Ru (0.8004, 0.5505, 0.4443)  6 Y 2.69-2.88, 1 Pb 3.01
Ru (0.3004, 0.9495, 0.0557)  6 Y 2.69-2.88, 1 Pb 3.01
Y (0.9993, 0.2401, 0.4399)  2 Ru 2.69-2.85
Y (0.9950, 0.8255, 0.9258)  2 Ru 2.77-2.83
Y (0.1668, 0.6620, 0.2691)  3 Ru 2.78-3.08
Y (0.8332, 0.3380, 0.7309)  3 Ru 2.78-3.08
Ru (0.6996, 0.0505, 0.9443)  6 Y 2.69-2.88, 1 Pb 3.01
Y (0.0007, 0.7599, 0.5601)  2 Ru 2.69-2.85
Ru (0.1996, 0.4495, 0.5557)  6 Y 2.69-2.88, 1 Pb 3.01
Pb (0.3008, 0.0108, 0.3375)  1 Ru 3.01, 8 Y 3.15-3.30
Pb (0.8008, 0.4892, 0.1625)  1 Ru 3.01, 8 Y 3.15-3.30
Y (0.6668, 0.8380, 0.2309)  3 Ru 2.78-3.08
Pb (0.1992, 0.5108, 0.8375)  1 Ru 3.01, 8 Y 3.15-3.30
Pb (0.6992, 0.9892, 0.6625)  1 Ru 3.01, 8 Y 3.15-3.30
Y (0.5050, 0.3255, 0.4258)  2 Ru 2.77-2.83
Y (0.4993, 0.2599, 0.0601)  2 Ru 2.69-2.85

Final energy = -39.41 eV/atom
N(E_F) = 0.55 states/eV/atom
Calculated formation energy = -2.897 eV/f.u.
Spin magnetization = 0.000 μB/cell

Record 4
This record from Alexandria via LeMat-Bulk describes a PBEsol-optimized structure of YRu2Pb. The functional is SCAN.

a b c (Å): 3.0741 5.3654 5.3654
angles (deg): 110.47 104.80 104.80
With the nearest neighbours (Å) after each atom.
Fractional positions:
Ru (0.0000, 0.0000, 0.5000)  2 Y 2.73, 2 Pb 2.73
Pb (0.5000, 0.0000, 0.0000)  4 Ru 2.73
Ru (0.0000, 0.5000, 0.0000)  2 Pb 2.73, 2 Y 2.73
Y (0.5000, 0.5000, 0.5000)  4 Ru 2.73

Final energy = -43.09 eV/atom
N(E_F) = 0.61 states/eV/atom
Calculated formation energy = 0.918 eV/f.u.
Spin magnetization = 0.000 μB/cell

Record 5
This record from Alexandria via LeMat-Bulk describes a PBEsol-optimized structure of YRu2Pb. The functional is SCAN.

a b c (Å): 3.2213 4.3450 5.8307
angles (deg): 90.00 94.25 90.00
With the nearest neighbours (Å) after each atom.
Fractional positions:
Y (0.5000, 0.5000, 0.0000)  8 Ru 2.90-3.01, 2 Y 3.22, 2 Pb 3.22
Ru (0.9395, 0.0000, 0.7963)  1 Ru 2.38
Pb (0.0000, 0.5000, 0.5000)  4 Ru 2.79
Ru (0.0605, 0.0000, 0.2037)  1 Ru 2.38

Final energy = -43.16 eV/atom
N(E_F) = 0.84 states/eV/atom
Calculated formation energy = 0.652 eV/f.u.
Spin magnetization = 0.756 μB/cell

Record 6
This record from Alexandria via LeMat-Bulk describes a PBEsol-optimized structure of YRu2Pb. The functional is SCAN.

a b c (Å): 3.1161 4.1957 5.6394
angles (deg): 90.00 90.00 90.00
With the nearest neighbours (Å) after each atom.
Fractional positions:
Y (0.0000, 0.0000, 0.4704)  5 Ru 2.60-2.91
Pb (0.5000, 0.5000, 0.7772)  5 Ru 2.63-2.92
Ru (0.0000, 0.0000, 0.0095)  1 Y 2.60
Ru (0.5000, 0.5000, 0.2429)  1 Pb 2.63, 4 Y 2.91, 4 Ru 2.93

Final energy = -43.18 eV/atom
N(E_F) = 0.94 states/eV/atom
Calculated formation energy = 0.566 eV/f.u.
Spin magnetization = 0.000 μB/cell

Record 7
This record from Alexandria via LeMat-Bulk describes a PBEsol-optimized structure of ZnRuPb2. The functional is SCAN.

a b c (Å): 3.2745 3.2745 7.7862
angles (deg): 90.00 90.00 90.00
With the nearest neighbours (Å) after each atom.
Fractional positions:
Pb (0.0000, 0.0000, 0.2167)  4 Ru 2.86, 4 Zn 3.20
Zn (0.5000, 0.5000, 0.5000)  8 Pb 3.20, 4 Zn 3.27
Ru (0.5000, 0.5000, 0.0000)  8 Pb 2.86
Pb (0.0000, 0.0000, 0.7833)  4 Ru 2.86, 4 Zn 3.20

Final energy = -49.54 eV/atom
N(E_F) = 0.50 states/eV/atom
Calculated formation energy = 1.762 eV/f.u.
Spin magnetization = 0.000 μB/cell

Record 8
This record from Alexandria via LeMat-Bulk describes a PBEsol-optimized structure of ZnRuPb2. The functional is SCAN.

a b c (Å): 3.5106 4.4449 5.3711
angles (deg): 90.00 109.07 90.00
With the nearest neighbours (Å) after each atom.
Fractional positions:
Zn (0.6819, 0.5000, 0.3638)  2 Ru 2.62, 3 Pb 2.82-2.86
Ru (0.8184, 0.0000, 0.6368)  2 Zn 2.62, 3 Pb 2.83-2.86
Pb (0.1001, 0.0000, 0.2003)  3 Ru 2.83-2.86, 4 Zn 2.95
Pb (0.4045, 0.5000, 0.8091)  3 Zn 2.82-2.86, 4 Ru 2.96

Final energy = -49.71 eV/atom
N(E_F) = 0.61 states/eV/atom
Calculated formation energy = 1.069 eV/f.u.
Spin magnetization = 0.001 μB/cell